Nb6Ru5Pt: optimized geometry, PBE.

The structure in POSCAR format:
```
Nb6Ru5Pt
1.0
9.2349 -0.0831 0.0000
2.1614 3.8693 0.0000
1.0807 1.9347 5.4218
Nb Ru Pt
6 5 1
direct
0.7310 0.1018 0.3343
0.7769 0.7231 0.0000
0.7310 0.4361 0.6657
0.2690 0.5639 0.3343
0.2231 0.2769 0.0000
0.2690 0.8982 0.6657
0.5000 0.8478 0.3045
0.5000 0.5000 0.0000
0.5000 0.1522 0.6955
0.0000 0.6823 0.6355
0.0000 0.3177 0.3645
0.0000 0.0000 0.0000
```

Output
Total magnetization (μB/atom): 0.00
Formation enthalpy at 0 K (eV per atom): -0.19
Crystal system: orthorhombic
DOS at the Fermi energy (states/eV/f.u.): 12.6
SG: Cmmm (65)
VASP energy (Ry/atom): -0.705
V (A^3/atom): 16.23
Distance to the lowest polymorph of the same formula (meV/atom): 77

NbRu2Pt: optimized geometry, PBE.

The structure in POSCAR format:
```
NbRu2Pt
1.0
-3.5960 -1.7954 -1.8973
-3.8834 2.1590 0.1113
-1.6666 1.7691 -3.7212
Nb Ru Pt
1 2 1
direct
0.0000 0.0000 0.0000
0.2500 0.2500 0.2500
0.7500 0.7500 0.7500
0.5000 0.5000 0.5000
```

Output
Total magnetization (μB/atom): 0.00
Formation enthalpy at 0 K (eV per atom): -0.01
Crystal system: cubic
DOS at the Fermi energy (states/eV/f.u.): 5.0
SG: Fm-3m (225)
VASP energy (Ry/atom): -0.638
V (A^3/atom): 15.52

Nb14RuPt: optimized geometry, PBE.

The structure in POSCAR format:
```
Nb14RuPt
1.0
5.7195 0.1756 0.0000
-2.0801 5.3308 0.0000
0.0000 0.0000 9.1946
Nb Ru Pt
14 1 1
direct
0.6250 0.8751 0.5000
0.8765 0.1235 0.7451
0.1250 0.8750 0.0000
0.3810 0.1310 0.7437
0.8690 0.6190 0.2563
0.3810 0.1310 0.2563
0.6250 0.3750 0.0000
0.3735 0.6265 0.7451
0.1250 0.3750 0.0000
0.3735 0.6265 0.2549
0.6250 0.8750 0.0000
0.8690 0.6190 0.7437
0.8765 0.1235 0.2549
0.1249 0.3750 0.5000
0.6249 0.3751 0.5000
0.1250 0.8750 0.5000
```

Output
Total magnetization (μB/atom): 0.00
Formation enthalpy at 0 K (eV per atom): -0.16
Crystal system: orthorhombic
DOS at the Fermi energy (states/eV/f.u.): 15.5
SG: Cmmm (65)
VASP energy (Ry/atom): -0.730
V (A^3/atom): 17.73

Q: Which value of DOS at the Fermi energy does entry 1 give?
A: 12.6 states/eV/f.u.